## ZnAg2Au (GGA-PBE)

Data for ZnAg2Au after structural relaxation. Values from VASP.

The value obtained for the total magnetization is 0.00 Bohr magnetons per cell. The space-group type is Pmmm (47). The value obtained for the mass density is 11.59 g/cm³. Its total DFT energy (no corrections) is -0.19384 Ry/atom. Its density of states at the Fermi level is 1.93 states/eV per cell.

Cell and atoms, written as Quantum ESPRESSO input:
```
&SYSTEM
  ibrav = 0, nat = 4, ntyp = 3
/
ATOMIC_SPECIES
Ag 107.87 Ag.upf
Zn 65.41 Zn.upf
Au 196.97 Au.upf
CELL_PARAMETERS angstrom
3.934 0.000 0.000
0.000 4.130 0.000
0.000 0.000 4.215
ATOMIC_POSITIONS crystal
Ag 0.500 0.500 0.000
Zn 0.000 0.500 0.500
Au 0.500 0.000 0.500
Ag 0.000 0.000 0.000
```


## Hg3Pt4 (GGA-PBE)

Data for Hg3Pt4 after structural relaxation. Values from VASP.

Its distance to the lowest polymorph of the same formula is 431 meV/atom. The value obtained for the total magnetization is 0.01 Bohr magnetons per cell. The space-group type is P6/mmm (191). The value obtained for the mass density is 17.28 g/cm³. Its total DFT energy (no corrections) is -0.22460 Ry/atom. Its density of states at the Fermi level is 8.23 states/eV per cell.

Cell and atoms, written as Quantum ESPRESSO input:
```
&SYSTEM
  ibrav = 0, nat = 7, ntyp = 2
/
ATOMIC_SPECIES
Pt 195.08 Pt.upf
Hg 200.59 Hg.upf
CELL_PARAMETERS angstrom
1.327 2.478 -4.700
-4.834 -2.525 0.495
-2.095 4.343 1.699
ATOMIC_POSITIONS crystal
Pt 0.000 0.000 0.744
Hg 0.000 0.500 0.000
Pt 0.667 0.333 0.500
Pt 0.333 0.667 0.500
Hg 0.500 0.500 0.000
Hg 0.500 0.000 0.000
Pt 0.000 0.000 0.256
```


## KNaCd2Br6 (GGA-PBE)

Data for KNaCd2Br6 after structural relaxation. Values from VASP.

The value obtained for the total magnetization is 0.00 Bohr magnetons per cell. The space-group type is R3 (146). The value obtained for the mass density is 4.00 g/cm³. As for the formation energy without anion corrections: -1.136 eV/atom. Its total DFT energy (no corrections) is -0.18845 Ry/atom. Its density of states at the Fermi level is 0.00 states/eV per cell.

Cell and atoms, written as Quantum ESPRESSO input:
```
&SYSTEM
  ibrav = 0, nat = 10, ntyp = 4
/
ATOMIC_SPECIES
Br 79.90 Br.upf
Cd 112.41 Cd.upf
K 39.10 K.upf
Na 22.99 Na.upf
CELL_PARAMETERS angstrom
-5.181 5.180 1.911
-2.096 0.769 7.234
2.218 6.301 3.935
ATOMIC_POSITIONS crystal
Br 0.740 0.171 0.739
Br 0.171 0.349 0.740
Cd 0.012 0.012 0.965
Br 0.639 0.249 0.231
Br 0.249 0.880 0.231
K 0.792 0.792 0.624
Br 0.880 0.639 0.231
Br 0.349 0.740 0.740
Na 0.311 0.310 0.068
Cd 0.518 0.518 0.446
```


## CuTc2Ge2 (GGA-PBE)

Data for CuTc2Ge2 after structural relaxation. Values from VASP.

Its distance to the lowest polymorph of the same formula is 29 meV/atom. The value obtained for the total magnetization is 0.00 Bohr magnetons per cell. The space-group type is P4/mbm (127). The value obtained for the mass density is 9.12 g/cm³. Its total DFT energy (no corrections) is -0.49530 Ry/atom. Its density of states at the Fermi level is 6.16 states/eV per cell.

Cell and atoms, written as Quantum ESPRESSO input:
```
&SYSTEM
  ibrav = 0, nat = 10, ntyp = 3
/
ATOMIC_SPECIES
Tc 98.00 Tc.upf
Cu 63.55 Cu.upf
Ge 72.64 Ge.upf
CELL_PARAMETERS angstrom
6.808 0.000 0.000
0.000 6.808 0.000
0.000 0.000 3.180
ATOMIC_POSITIONS crystal
Tc 0.847 0.347 0.500
Tc 0.153 0.653 0.500
Cu 0.000 0.000 0.000
Ge 0.645 0.145 0.000
Tc 0.653 0.847 0.500
Ge 0.355 0.855 0.000
Tc 0.347 0.153 0.500
Ge 0.145 0.355 0.000
Ge 0.855 0.645 0.000
Cu 0.500 0.500 0.000
```


## CaTa2Os (GGA-PBE)

Data for CaTa2Os after structural relaxation. Values from VASP.

Its distance to the lowest polymorph of the same formula is 234 meV/atom. The value obtained for the total magnetization is 0.00 Bohr magnetons per cell. The space-group type is Fm-3m (225). The value obtained for the mass density is 13.65 g/cm³. Its total DFT energy (no corrections) is -0.64662 Ry/atom. Its density of states at the Fermi level is 4.82 states/eV per cell.

Cell and atoms, written as Quantum ESPRESSO input:
```
&SYSTEM
  ibrav = 0, nat = 4, ntyp = 3
/
ATOMIC_SPECIES
Ta 180.95 Ta.upf
Os 190.23 Os.upf
Ca 40.08 Ca.upf
CELL_PARAMETERS angstrom
1.355 -1.987 4.004
-0.213 2.412 3.994
-3.171 -1.123 3.240
ATOMIC_POSITIONS crystal
Ta 0.750 0.750 0.750
Os 0.500 0.500 0.500
Ca 0.000 0.000 0.000
Ta 0.250 0.250 0.250
```


## DyTh2Al (GGA-PBE)

Data for DyTh2Al after structural relaxation. Values from VASP.

Its distance to the lowest polymorph of the same formula is 86 meV/atom. The value obtained for the total magnetization is 0.00 Bohr magnetons per cell. The space-group type is P4/mmm (123). The value obtained for the mass density is 9.38 g/cm³. Its total DFT energy (no corrections) is -0.42932 Ry/atom. Its density of states at the Fermi level is 5.90 states/eV per cell.

Cell and atoms, written as Quantum ESPRESSO input:
```
&SYSTEM
  ibrav = 0, nat = 4, ntyp = 3
/
ATOMIC_SPECIES
Dy 162.50 Dy.upf
Th 232.04 Th.upf
Al 26.98 Al.upf
CELL_PARAMETERS angstrom
3.461 0.000 0.000
0.000 3.461 0.000
0.000 0.000 9.661
ATOMIC_POSITIONS crystal
Dy 0.500 0.500 0.500
Th 0.000 0.000 0.781
Th 0.000 0.000 0.219
Al 0.500 0.500 0.000
```


## TaMnSnS2 (GGA-PBE)

Data for TaMnSnS2 after structural relaxation. Values from VASP.

The value obtained for the total magnetization is 4.92 Bohr magnetons per cell. The space-group type is P4/mmm (123). The value obtained for the mass density is 5.02 g/cm³. As for the formation energy without anion corrections: 1.591 eV/atom. Its total DFT energy (no corrections) is -0.37230 Ry/atom. Its density of states at the Fermi level is 7.75 states/eV per cell.

Cell and atoms, written as Quantum ESPRESSO input:
```
&SYSTEM
  ibrav = 0, nat = 5, ntyp = 4
/
ATOMIC_SPECIES
Ta 180.95 Ta.upf
Sn 118.71 Sn.upf
Mn 54.94 Mn.upf
S 32.06 S.upf
CELL_PARAMETERS angstrom
-0.618 -1.288 5.094
1.611 -4.582 -0.963
4.965 1.537 0.991
ATOMIC_POSITIONS crystal
Ta 0.500 0.500 0.500
Sn 0.000 0.000 0.000
Mn 0.000 0.500 0.000
S 0.000 0.000 0.500
S 0.500 0.000 0.000
```


## Zn2FeMo (GGA-PBE)

Data for Zn2FeMo after structural relaxation. Values from VASP.

Its distance to the lowest polymorph of the same formula is 354 meV/atom. The value obtained for the total magnetization is 0.28 Bohr magnetons per cell. The space-group type is Fm-3m (225). The value obtained for the mass density is 8.73 g/cm³. Its total DFT energy (no corrections) is -0.37110 Ry/atom. Its density of states at the Fermi level is 5.76 states/eV per cell.

Cell and atoms, written as Quantum ESPRESSO input:
```
&SYSTEM
  ibrav = 0, nat = 4, ntyp = 3
/
ATOMIC_SPECIES
Mo 95.94 Mo.upf
Zn 65.41 Zn.upf
Fe 55.84 Fe.upf
CELL_PARAMETERS angstrom
0.000 2.996 2.996
2.996 0.000 2.996
2.996 2.996 0.000
ATOMIC_POSITIONS crystal
Mo 0.500 0.500 0.500
Zn 0.750 0.750 0.750
Fe 0.000 0.000 0.000
Zn 0.250 0.250 0.250
```